Record 1
Computed, not measured: a relaxed structure of YThSiSe at the PBE level of DFT.

```
YThSiSe
1.0
-2.880 2.492 1.762
-2.345 -1.422 3.175
2.929 2.604 6.102
Si Se Th Y
1 1 1 1
direct
0.442 0.442 0.674
0.947 0.947 0.160
0.189 0.189 0.434
0.699 0.699 0.903
```

Results
raw formation energy = -121 kJ/mol of atoms
space group = R3m (160)

Record 2
Computed, not measured: a relaxed structure of TbScAlPd at the PBE level of DFT.

```
TbScAlPd
1.0
4.924 0.000 0.000
2.462 4.264 0.000
2.462 1.421 4.021
Pd Al Sc Tb
1 1 1 1
direct
0.000 0.000 0.000
0.500 0.500 0.500
0.250 0.250 0.250
0.750 0.750 0.750
```

Results
space group = F-43m (216)
ΔE_f = -0.574 eV/atom